The following is a DFT calculation (PBE with a Hubbard U) of a relaxed Na6V2AsC4O16 crystal.

Computed properties:
- Density of states at the Fermi level: 0.174 states/eV per atom
- VASP energy: -6.61 eV/atom

abc: 10.0325 10.0325 10.0325
angles: 60.00 60.00 60.00
Sites, in units of the cell vectors:
Na: 0.0419 0.4581 0.0419
Na: 0.7919 0.2081 0.7919
Na: 0.2081 0.2081 0.7919
Na: 0.4581 0.4581 0.0419
Na: 0.0419 0.4581 0.4581
Na: 0.2081 0.7919 0.2081
Na: 0.0419 0.0419 0.4581
Na: 0.7919 0.7919 0.2081
Na: 0.4581 0.0419 0.0419
Na: 0.2081 0.7919 0.7919
Na: 0.7919 0.2081 0.2081
Na: 0.4581 0.0419 0.4581
C: 0.7697 0.4101 0.4101
C: 0.4803 0.8399 0.8399
C: 0.4101 0.4101 0.4101
C: 0.8399 0.8399 0.8399
C: 0.8399 0.8399 0.4803
C: 0.8399 0.4803 0.8399
C: 0.4101 0.4101 0.7697
C: 0.4101 0.7697 0.4101
O: 0.4791 0.7244 0.9802
O: 0.7709 0.2698 0.4338
O: 0.0702 0.0702 0.7895
O: 0.4338 0.7709 0.2698
O: 0.8162 0.4791 0.9802
O: 0.4791 0.9802 0.8162
O: 0.7244 0.4791 0.8162
O: 0.1798 0.1798 0.1798
O: 0.4338 0.5256 0.7709
O: 0.7709 0.4338 0.5256
O: 0.4791 0.8162 0.7244
O: 0.8162 0.7244 0.4791
O: 0.4338 0.2698 0.5256
O: 0.9802 0.7244 0.8162
O: 0.1798 0.1798 0.4605
O: 0.7895 0.0702 0.0702
O: 0.4605 0.1798 0.1798
O: 0.7244 0.8162 0.9802
O: 0.5256 0.7709 0.4338
O: 0.2698 0.5256 0.4338
O: 0.8162 0.9802 0.7244
O: 0.5256 0.4338 0.2698
O: 0.1798 0.4605 0.1798
O: 0.9802 0.4791 0.7244
O: 0.2698 0.4338 0.7709
O: 0.7244 0.9802 0.4791
O: 0.7709 0.5256 0.2698
O: 0.2698 0.7709 0.5256
O: 0.9802 0.8162 0.4791
O: 0.0702 0.7895 0.0702
O: 0.5256 0.2698 0.7709
O: 0.0702 0.0702 0.0702
As: 0.0000 0.0000 0.0000
As: 0.2500 0.2500 0.2500
V: 0.6250 0.6250 0.1250
V: 0.1250 0.6250 0.6250
V: 0.6250 0.6250 0.6250
V: 0.6250 0.1250 0.6250